# 1
# Tb4HoAg2

An optimized crystal structure of Tb4HoAg2 (GGA-PBE, Alexandria).

abc: 5.4298 5.4298 24.9633
angles: 90.00 90.00 120.00
Last column: nearest neighbours and their distance in Å.
Space group R-3m (No. 166, hexagonal axes)
Unique sites:
Tb: 0.0000 0.0000 0.1266  3 Ho 3.29, 4 Tb 3.51-3.57, 3 Ag 3.63
Tb: 0.0000 0.0000 0.2696  4 Ag 2.93-3.15
Ho: 0.0000 0.0000 0.5000  2 Ag 2.83
Ag: 0.0000 0.0000 0.3868  1 Ho 2.83, 4 Tb 2.93-3.15

V (Å³/cell): 637.4
DFT formation energy (eV/atom): 0.1137

=====

# 2
# Th6SiOs2Se3

An optimized crystal structure of Th6SiOs2Se3 (GGA-PBE, Alexandria).

abc: 7.2524 12.5383 7.5903
angles: 90.00 108.47 90.00
Last column: nearest neighbours and their distance in Å.
Space group C2/m (No. 12)
Unique sites:
Th: 0.2259 0.0000 0.2208  2 Os 2.86, 1 Si 2.98, 3 Se 3.06-3.13
Th: 0.2482 0.3266 0.2221  2 Os 2.85, 1 Si 2.98, 3 Se 3.12-3.18
Si: 0.0000 0.5000 0.0000  6 Th 2.98
Os: 0.0000 0.1678 0.0000  6 Th 2.85-2.86
Se: 0.0000 0.0000 0.5000  6 Th 3.06-3.17
Se: 0.0000 0.3400 0.5000  6 Th 3.12-3.18

V (Å³/cell): 654.7
Formation energy (no corrections) (eV/atom): -1.04

=====

| no. | total DFT energy (no corrections) (eV per atom) |
| --- | --- |
| 1 | -4.00 |
| 2 | -7.95 |